# 1
# InP2Ru | Alexandria | GGA-PBE | optimized geometry
data_InP2Ru
_cell_length_a 5.695
_cell_length_b 5.695
_cell_length_c 10.868
_cell_angle_alpha 90.00
_cell_angle_beta 90.00
_cell_angle_gamma 90.00
_space_group_name_H-M_alt 'I -4 2 d'
_space_group_IT_number 122
_space_group_name_Hall 'I -4 2bw'
loop_
_atom_site_label
_atom_site_type_symbol
_atom_site_fract_x
_atom_site_fract_y
_atom_site_fract_z
_atom_site_occupancy
In1 In 0.000 0.000 0.000 1
P1 P 0.194 0.250 0.625 1
Ru1 Ru 0.000 0.000 0.500 1
# - magnetization (μB/f.u.) = 0.00
# - V (Å³/atom) = 22.03

***

# 2
# InP2Ru | Alexandria | GGA-PBE | optimized geometry
data_InP2Ru
_cell_length_a 3.860
_cell_length_b 3.242
_cell_length_c 6.102
_cell_angle_alpha 90.00
_cell_angle_beta 108.10
_cell_angle_gamma 90.00
_space_group_name_H-M_alt 'P 1 m 1'
_space_group_IT_number 6
loop_
_space_group_symop_operation_xyz
'x,y,z'
'x,-y,z'
loop_
_atom_site_label
_atom_site_type_symbol
_atom_site_fract_x
_atom_site_fract_y
_atom_site_fract_z
_atom_site_occupancy
In1 In 0.000 0.000 0.000 1
P1 P 0.277 0.500 0.498 1
P2 P 0.927 0.000 0.543 1
Ru1 Ru 0.618 0.500 0.249 1
# - magnetization (μB/f.u.) = 0.00
# - V (Å³/atom) = 18.14

***

Ordered E_form results: -70.5 -73.7; unit meV per atom.